Entry 1:
A relaxed structure of As2IrW. Source: Alexandria via LeMat-Bulk, functional GGA-PBE.

The structure belongs to space group Cm (No. 8); the cell edges are 8.5230, 3.3597 and 4.8063 Å and the angles 90.00°, 106.90° and 90.00°. The distinct sites, in fractional coordinates, are As at (0.0000, 0.0000, 0.0000), As at (0.2341, 0.0000, 0.5964), Ir at (0.2460, 0.5000, 0.1913) and W at (0.0158, 0.5000, 0.5875).

The calculation puts the total energy at -7.65 eV per atom. The formation enthalpy at 0 K comes out at 127 meV per atom. The calculation puts the polymorph energy (0 for the lowest one) at 96 meV/atom. Its crystal system is monoclinic. The calculation puts the magnetic moment at 0.000 μB per atom.

Entry 2:
A relaxed structure of As2IrW. Source: Alexandria via LeMat-Bulk, functional GGA-PBE.

The structure belongs to space group I-42d (No. 122); the cell edges are 5.6846, 5.6846 and 10.8226 Å and the angles 90.00°, 90.00° and 90.00°. The distinct sites, in fractional coordinates, are As at (0.2409, 0.2500, 0.1250), Ir at (0.0000, 0.0000, 0.0000) and W at (0.0000, 0.0000, 0.5000).

The calculation puts the total energy at -7.27 eV per atom. The formation enthalpy at 0 K comes out at 506 meV per atom. The calculation puts the polymorph energy (0 for the lowest one) at 475 meV/atom. Its crystal system is tetragonal. The calculation puts the magnetic moment at 0.000 μB per atom.

> Which value of formation enthalpy at 0 K does entry 1 give?

127 meV per atom

> Which value of formation enthalpy at 0 K does entry 1 give?

127 meV per atom

> Which formula does entry 2 have?

As2IrW

> Which of these has the lowest polymorph energy (0 for the lowest one)?

number 1